The following is a DFT calculation (PBE) of crystalline FeGe2Se4 at its relaxed geometry.

It has space group P4_122 (No. 91), with a = 7.7039 Å, b = 7.7039 Å, c = 10.5294 Å, α = 90.00°, β = 90.00° and γ = 90.00°. The asymmetric unit holds Fe at (0.0000, 0.2468, 0.0000), Ge at (0.2337, 0.2337, 0.3750), Ge at (0.2564, 0.5000, 0.7500), Se at (0.0372, 0.2306, 0.7741) and Se at (0.2267, 0.4683, 0.0068).

As for the uncorrected energy: -130.9 eV per cell. The calculation puts the total magnetization at 0.000 μB/atom.